Record 1
Density functional theory data (PBE) for Rb2CrNi after structural relaxation.

Calculated values
space-group type = I-42d, No. 122
offset from the most stable computed form = 0.000 eV/atom
crystal system = tetragonal
V = 47.8 Å³ per atom
ΔE_f = 0.854 eV per atom

a = 9.418 Å, b = 9.418 Å, c = 9.418 Å
α = 93.40°, β = 93.40°, γ = 151.82°
Element x y z (fractional)
Rb  0.375  0.192  0.317
Rb  0.808  0.125  0.183
Rb  0.875  0.058  0.683
Rb  0.942  0.625  0.817
Cr  0.250  0.750  0.500
Cr  0.500  0.500  0.000
Ni  0.000  0.000  0.000
Ni  0.750  0.250  0.500

---

Record 2
Density functional theory data (PBE) for CaFeSi2N after structural relaxation.

Calculated values
space-group type = P4/mmm, No. 123
crystal system = tetragonal
V = 16.5 Å³ per atom
ΔE_f (raw) = 27.4 kJ per mole of atoms

a = 4.882 Å, b = 4.882 Å, c = 3.467 Å
α = 90.00°, β = 90.00°, γ = 90.00°
Element x y z (fractional)
Ca  0.000  0.000  0.000
Fe  0.500  0.500  0.500
Si  0.000  0.500  0.500
Si  0.500  0.000  0.500
N  0.500  0.500  0.000

---

Record 3
Density functional theory data (PBE) for LiAsPt2 after structural relaxation.

Calculated values
space-group type = P4mm, No. 99
crystal system = tetragonal
V = 15.2 Å³ per atom
ΔE_f = -0.414 eV per atom

a = 3.448 Å, b = 3.448 Å, c = 5.109 Å
α = 90.00°, β = 90.00°, γ = 90.00°
Element x y z (fractional)
Li  0.000  0.000  0.000
As  0.500  0.500  0.696
Pt  0.000  0.000  0.505
Pt  0.500  0.500  0.190

---

Record 4
Density functional theory data (PBE) for YMn3Rh after structural relaxation.

Calculated values
space-group type = Pm-3m, No. 221
offset from the most stable computed form = 1.879 eV/atom
crystal system = cubic
V = 17.2 Å³ per atom
ΔE_f = 2.407 eV per atom

a = 4.416 Å, b = 4.416 Å, c = 4.416 Å
α = 90.00°, β = 90.00°, γ = 90.00°
Element x y z (fractional)
Y  0.000  0.000  0.000
Mn  0.000  0.000  0.500
Mn  0.000  0.500  0.000
Mn  0.500  0.000  0.000
Rh  0.500  0.500  0.500

---

Record 5
Density functional theory data (PBE) for SrMo2W after structural relaxation.

Calculated values
space-group type = Imm2, No. 44
offset from the most stable computed form = 0.335 eV/atom
crystal system = orthorhombic
V = 19.4 Å³ per atom
ΔE_f = 1.038 eV per atom

a = 5.716 Å, b = 5.716 Å, c = 5.716 Å
α = 148.18°, β = 127.27°, γ = 62.91°
Element x y z (fractional)
Sr  0.000  0.000  0.000
Mo  0.491  0.491  0.000
Mo  0.727  0.227  0.500
W  0.277  0.777  0.500

---

Record 6
Density functional theory data (PBE) for GdCoSi after structural relaxation.

Calculated values
space-group type = P-6m2, No. 187
crystal system = hexagonal
V = 18.3 Å³ per atom
ΔE_f (raw) = -58.8 kJ per mole of atoms

a = 3.998 Å, b = 3.998 Å, c = 3.977 Å
α = 90.00°, β = 90.00°, γ = 120.00°
Element x y z (fractional)
Gd  0.000  0.000  0.000
Co  0.333  0.667  0.500
Si  0.667  0.333  0.500

---

Record 7
Density functional theory data (PBE) for Tb12Er5Al2 after structural relaxation.

Calculated values
space-group type = C2/m, No. 12
crystal system = monoclinic
V = 30.3 Å³ per atom
ΔE_f = 0.021 eV per atom

a = 8.836 Å, b = 8.836 Å, c = 8.286 Å
α = 92.57°, β = 92.57°, γ = 62.97°
Element x y z (fractional)
Tb  0.054  0.054  0.322
Tb  0.071  0.679  0.328
Tb  0.170  0.542  0.771
Tb  0.321  0.929  0.672
Tb  0.421  0.421  0.120
Tb  0.458  0.830  0.229
Tb  0.542  0.170  0.771
Tb  0.579  0.579  0.880
Tb  0.679  0.071  0.328
Tb  0.830  0.458  0.229
Tb  0.929  0.321  0.672
Tb  0.946  0.946  0.678
Er  0.189  0.189  0.015
Er  0.268  0.268  0.425
Er  0.500  0.500  0.500
Er  0.732  0.732  0.575
Er  0.811  0.811  0.985
Al  0.168  0.832  0.000
Al  0.832  0.168  0.000

---

Record 8
Density functional theory data (PBE) for KMn2HgCl8 after structural relaxation.

Calculated values
space-group type = P-1, No. 2
crystal system = triclinic
V = 29.6 Å³ per atom
ΔE_f (raw) = -99.4 kJ per mole of atoms

a = 6.351 Å, b = 6.523 Å, c = 9.164 Å
α = 75.31°, β = 76.59°, γ = 80.10°
Element x y z (fractional)
K  0.000  0.000  0.000
Mn  0.461  0.463  0.207
Mn  0.539  0.537  0.793
Hg  0.000  0.000  0.500
Cl  0.204  0.310  0.431
Cl  0.270  0.809  0.725
Cl  0.288  0.378  0.017
Cl  0.304  0.794  0.249
Cl  0.696  0.206  0.751
Cl  0.712  0.622  0.983
Cl  0.730  0.191  0.275
Cl  0.796  0.690  0.569

---

Record 9
Density functional theory data (PBE) for RbTaBe after structural relaxation.

Calculated values
space-group type = P-6m2, No. 187
offset from the most stable computed form = 1.183 eV/atom
crystal system = hexagonal
V = 27.8 Å³ per atom
ΔE_f = 1.634 eV per atom

a = 4.858 Å, b = 4.858 Å, c = 8.164 Å
α = 90.00°, β = 90.00°, γ = 120.00°
Element x y z (fractional)
Rb  0.000  0.000  0.000
Rb  0.000  0.000  0.500
Ta  0.333  0.667  0.153
Ta  0.333  0.667  0.847
Be  0.667  0.333  0.152
Be  0.667  0.333  0.848

---

Record 10
Density functional theory data (PBE) for Mg3Ni2Ge3 after structural relaxation.

Calculated values
space-group type = Cmcm, No. 63
offset from the most stable computed form = 0.000 eV/atom
crystal system = orthorhombic
V = 16.6 Å³ per atom
ΔE_f = -0.318 eV per atom

a = 5.242 Å, b = 5.242 Å, c = 13.428 Å
α = 90.00°, β = 90.00°, γ = 134.05°
Element x y z (fractional)
Mg  0.075  0.925  0.616
Mg  0.075  0.925  0.884
Mg  0.360  0.640  0.750
Mg  0.640  0.360  0.250
Mg  0.925  0.075  0.116
Mg  0.925  0.075  0.384
Ni  0.211  0.789  0.102
Ni  0.211  0.789  0.398
Ni  0.789  0.211  0.602
Ni  0.789  0.211  0.898
Ge  0.348  0.652  0.250
Ge  0.374  0.626  0.538
Ge  0.374  0.626  0.962
Ge  0.626  0.374  0.038
Ge  0.626  0.374  0.462
Ge  0.652  0.348  0.750

---

Record 11
Density functional theory data (PBE) for La2AgI after structural relaxation.

Calculated values
space-group type = R3m, No. 160
offset from the most stable computed form = 0.020 eV/atom
crystal system = trigonal
V = 33.8 Å³ per atom
ΔE_f (raw) = -53.4 kJ per mole of atoms

a = 8.537 Å, b = 8.537 Å, c = 8.537 Å
α = 29.70°, β = 29.70°, γ = 29.70°
Element x y z (fractional)
La  0.000  0.000  0.000
La  0.187  0.187  0.187
Ag  0.594  0.594  0.594
I  0.426  0.426  0.426